VASP calculation (PBE) on FeSiAg2 after structural relaxation.

Space-group type: No. 123
Raw formation energy: 0.3870 eV/atom
Uncorrected energy: -4.510 eV per atom
V: 16.0 A^3/atom

Lattice parameters (Å, degrees): 2.727 2.727 8.597 90.00 90.00 90.00
Each line ends with the local moment (μB).
Fractional coordinates of all 4 atoms:
Ag (0.000, 0.000, 0.009)  0.01
Ag (0.000, 0.000, 0.491)  0.01
Fe (0.500, 0.500, 0.250)  2.91
Si (0.500, 0.500, 0.750)  0.01